Entry 1:
A plane-wave DFT calculation with PBE-GGA was carried out for a relaxed Pu2MgIn crystal.

DFT total energy, Ha/atom: -0.3009
ΔE_f, eV/f.u.: 0.24
Volume, Å³ per cell: 105

Cell: 4.158 4.158 6.065 Å, 90.00 90.00 90.00°
Element x y z (fractional)
1 Pu 0.000 0.000 0.244
2 Pu 0.000 0.000 0.756
3 Mg 0.500 0.500 0.500
4 In 0.500 0.500 0.000


Entry 2:
A plane-wave DFT calculation with PBE-GGA was carried out for a relaxed PuMg2In3 crystal.

DFT total energy, Ha/atom: -0.1618
ΔE_f, eV/f.u.: -0.68
Volume, Å³ per cell: 297
Offset from the most stable computed form, meV/atom: 9

Cell: 5.092 5.092 13.230 Å, 90.00 90.00 120.00°
Element x y z (fractional)
1 Pu 0.000 0.000 0.250
2 Pu 0.000 0.000 0.750
3 Mg 0.333 0.667 0.117
4 Mg 0.333 0.667 0.383
5 Mg 0.667 0.333 0.617
6 Mg 0.667 0.333 0.883
7 In 0.000 0.000 0.000
8 In 0.000 0.000 0.500
9 In 0.333 0.667 0.634
10 In 0.333 0.667 0.866
11 In 0.667 0.333 0.134
12 In 0.667 0.333 0.366


Entry 3:
A plane-wave DFT calculation with PBE-GGA was carried out for a relaxed PuMgIn crystal.

DFT total energy, Ha/atom: -0.2276
ΔE_f, eV/f.u.: 0.09
Volume, Å³ per cell: 162

Cell: 7.956 7.956 7.956 Å, 36.85 36.85 36.85°
Element x y z (fractional)
1 Pu 0.146 0.146 0.146
2 Pu 0.854 0.854 0.854
3 Mg 0.291 0.291 0.291
4 Mg 0.709 0.709 0.709
5 In 0.425 0.425 0.425
6 In 0.575 0.575 0.575


Entry 4:
A plane-wave DFT calculation with PBE-GGA was carried out for a relaxed PuMg4In5 crystal.

DFT total energy, Ha/atom: -0.1305
ΔE_f, eV/f.u.: -1.10
Volume, Å³ per cell: 238

Cell: 3.243 3.243 22.583 Å, 90.00 90.00 90.00°
Element x y z (fractional)
1 Pu 0.000 0.000 0.000
2 Mg 0.000 0.000 0.206
3 Mg 0.000 0.000 0.402
4 Mg 0.000 0.000 0.598
5 Mg 0.000 0.000 0.794
6 In 0.500 0.500 0.109
7 In 0.500 0.500 0.304
8 In 0.500 0.500 0.500
9 In 0.500 0.500 0.696
10 In 0.500 0.500 0.891


Entry 5:
A plane-wave DFT calculation with PBE-GGA was carried out for a relaxed PuMgIn2 crystal.

DFT total energy, Ha/atom: -0.2016
ΔE_f, eV/f.u.: -0.54
Volume, Å³ per cell: 98

Cell: 3.266 3.266 9.166 Å, 90.00 90.00 90.00°
Element x y z (fractional)
1 Pu 0.000 0.000 0.000
2 Mg 0.000 0.000 0.500
3 In 0.500 0.500 0.265
4 In 0.500 0.500 0.735


Entry 6:
A plane-wave DFT calculation with PBE-GGA was carried out for a relaxed PuMg2In4 crystal.

DFT total energy, Ha/atom: -0.1491
ΔE_f, eV/f.u.: 0.07
Volume, Å³ per cell: 376

Cell: 11.548 6.124 5.860 Å, 90.00 114.74 90.00°
Element x y z (fractional)
1 Pu 0.000 0.000 0.000
2 Pu 0.500 0.500 0.000
3 Mg 0.221 0.500 0.439
4 Mg 0.279 0.000 0.561
5 Mg 0.721 0.000 0.439
6 Mg 0.779 0.500 0.561
7 In 0.000 0.247 0.500
8 In 0.000 0.753 0.500
9 In 0.250 0.250 0.000
10 In 0.250 0.750 0.000
11 In 0.500 0.253 0.500
12 In 0.500 0.747 0.500
13 In 0.750 0.250 0.000
14 In 0.750 0.750 0.000


Entry 7:
A plane-wave DFT calculation with PBE-GGA was carried out for a relaxed PuMg2In crystal.

DFT total energy, Ha/atom: -0.1856
ΔE_f, eV/f.u.: 0.06
Volume, Å³ per cell: 381
Offset from the most stable computed form, meV/atom: 12

Cell: 7.251 7.251 7.251 Å, 90.00 90.00 90.00°
Element x y z (fractional)
1 Pu 0.000 0.000 0.000
2 Pu 0.000 0.500 0.500
3 Pu 0.500 0.000 0.500
4 Pu 0.500 0.500 0.000
5 Mg 0.250 0.250 0.250
6 Mg 0.250 0.250 0.750
7 Mg 0.250 0.750 0.250
8 Mg 0.250 0.750 0.750
9 Mg 0.750 0.250 0.250
10 Mg 0.750 0.250 0.750
11 Mg 0.750 0.750 0.250
12 Mg 0.750 0.750 0.750
13 In 0.000 0.000 0.500
14 In 0.000 0.500 0.000
15 In 0.500 0.000 0.000
16 In 0.500 0.500 0.500


Entry 8:
A plane-wave DFT calculation with PBE-GGA was carried out for a relaxed PuMgIn2 crystal.

DFT total energy, Ha/atom: -0.2020
ΔE_f, eV/f.u.: -0.59
Volume, Å³ per cell: 101

Cell: 4.803 4.803 4.372 Å, 90.00 90.00 90.00°
Element x y z (fractional)
1 Pu 0.000 0.000 0.000
2 Mg 0.500 0.500 0.000
3 In 0.000 0.500 0.500
4 In 0.500 0.000 0.500


Entry 9:
A plane-wave DFT calculation with PBE-GGA was carried out for a relaxed PuMg15In4 crystal.

DFT total energy, Ha/atom: -0.0910
ΔE_f, eV/f.u.: -0.31
Volume, Å³ per cell: 468

Cell: 4.643 4.643 21.728 Å, 90.00 90.00 90.00°
Element x y z (fractional)
1 Pu 0.000 0.000 0.000
2 Mg 0.000 0.500 0.106
3 Mg 0.000 0.500 0.302
4 Mg 0.000 0.500 0.500
5 Mg 0.000 0.500 0.698
6 Mg 0.000 0.500 0.894
7 Mg 0.500 0.000 0.106
8 Mg 0.500 0.000 0.302
9 Mg 0.500 0.000 0.500
10 Mg 0.500 0.000 0.698
11 Mg 0.500 0.000 0.894
12 Mg 0.500 0.500 0.000
13 Mg 0.500 0.500 0.206
14 Mg 0.500 0.500 0.400
15 Mg 0.500 0.500 0.600
16 Mg 0.500 0.500 0.794
17 In 0.000 0.000 0.202
18 In 0.000 0.000 0.401
19 In 0.000 0.000 0.599
20 In 0.000 0.000 0.798


Entry 10:
A plane-wave DFT calculation with PBE-GGA was carried out for a relaxed PuMg2In6 crystal.

DFT total energy, Ha/atom: -0.1383
ΔE_f, eV/f.u.: 0.07
Volume, Å³ per cell: 238

Cell: 6.981 6.981 5.523 Å, 108.65 108.65 75.20°
Element x y z (fractional)
1 Pu 0.000 0.000 0.000
2 Mg 0.340 0.340 0.339
3 Mg 0.660 0.660 0.661
4 In 0.146 0.504 0.828
5 In 0.198 0.802 0.500
6 In 0.496 0.854 0.172
7 In 0.504 0.146 0.828
8 In 0.802 0.198 0.500
9 In 0.854 0.496 0.172


Entry 11:
A plane-wave DFT calculation with PBE-GGA was carried out for a relaxed PuMg2In crystal.

DFT total energy, Ha/atom: -0.1860
ΔE_f, eV/f.u.: 0.02
Volume, Å³ per cell: 101
Offset from the most stable computed form, meV/atom: 0

Cell: 4.581 4.581 4.828 Å, 90.00 90.00 90.00°
Element x y z (fractional)
1 Pu 0.000 0.000 0.000
2 Mg 0.000 0.500 0.500
3 Mg 0.500 0.000 0.500
4 In 0.500 0.500 0.000


Entry 12:
A plane-wave DFT calculation with PBE-GGA was carried out for a relaxed Pu2MgIn6 crystal.

DFT total energy, Ha/atom: -0.1959
ΔE_f, eV/f.u.: -1.29
Volume, Å³ per cell: 225

Cell: 3.209 8.979 8.993 Å, 119.52 90.04 90.10°
Element x y z (fractional)
1 Pu 0.000 0.167 0.334
2 Pu 0.000 0.833 0.666
3 Mg 0.000 0.500 0.000
4 In 0.499 0.500 0.329
5 In 0.499 0.829 0.000
6 In 0.499 0.830 0.330
7 In 0.501 0.170 0.670
8 In 0.501 0.171 0.000
9 In 0.501 0.500 0.671


Look up the ΔE_f of the eleventh one. 0.02 eV/f.u.


Which formula does entry 6 have? PuMg2In4


Look up the DFT total energy of the eleventh one. -0.1860 Ha/atom


Copy entry 7 word for word.
A plane-wave DFT calculation with PBE-GGA was carried out for a relaxed PuMg2In crystal.

DFT total energy, Ha/atom: -0.1856
ΔE_f, eV/f.u.: 0.06
Volume, Å³ per cell: 381
Offset from the most stable computed form, meV/atom: 12

Cell: 7.251 7.251 7.251 Å, 90.00 90.00 90.00°
Element x y z (fractional)
1 Pu 0.000 0.000 0.000
2 Pu 0.000 0.500 0.500
3 Pu 0.500 0.000 0.500
4 Pu 0.500 0.500 0.000
5 Mg 0.250 0.250 0.250
6 Mg 0.250 0.250 0.750
7 Mg 0.250 0.750 0.250
8 Mg 0.250 0.750 0.750
9 Mg 0.750 0.250 0.250
10 Mg 0.750 0.250 0.750
11 Mg 0.750 0.750 0.250
12 Mg 0.750 0.750 0.750
13 In 0.000 0.000 0.500
14 In 0.000 0.500 0.000
15 In 0.500 0.000 0.000
16 In 0.500 0.500 0.500